The following is a DFT calculation (PBE) of a geometry-optimized Ti4MnIn3 structure.

Symmetry   P4/mmm (123)
ΔH_f (0 K)   -0.179 eV/atom

```
8
Lattice="3.020 0.000 0.000 0.000 3.020 0.000 0.000 0.000 15.591" Properties=species:S:1:pos:R:3 pbc="T T T"
Ti 0.000 0.000 1.406
Ti 0.000 0.000 5.670
Ti 0.000 0.000 9.921
Ti 0.000 0.000 14.185
Mn 1.510 1.510 0.000
In 1.510 1.510 3.591
In 1.510 1.510 7.796
In 1.510 1.510 12.000
```